Material: PuPaVIr
Method: DFT, PBE
State: optimized geometry

Summary:
DFT formation energy   -104.6 meV per atom
Symmetry   No. 216

abc: 4.8459 4.8459 4.8459
angles: 60.00 60.00 60.00
With the nearest neighbours (Å) after each atom.
Fractional coordinates of all 4 atoms:
Pa  0.2500  0.2500  0.2500  4 Ir 2.97, 4 V 2.97
Ir  0.5000  0.5000  0.5000  4 Pa 2.97, 4 Pu 2.97
Pu  0.7500  0.7500  0.7500  4 Ir 2.97, 4 V 2.97
V  0.0000  0.0000  0.0000  4 Pa 2.97, 4 Pu 2.97